## 1
# BaCa2Cu

A relaxed structure of BaCa2Cu (PBE-GGA, Alexandria).

Geometry as CIF:
```
data_BaCa2Cu
_cell_length_a 3.931
_cell_length_b 5.986
_cell_length_c 12.411
_cell_angle_alpha 90.00
_cell_angle_beta 90.00
_cell_angle_gamma 90.00
_space_group_name_H-M_alt 'I m m 2'
_space_group_IT_number 44
loop_
_space_group_symop_operation_xyz
'x,y,z'
'-x,-y,z'
'-x,y,z'
'x,-y,z'
'x+1/2,y+1/2,z+1/2'
'-x+1/2,-y+1/2,z+1/2'
'-x+1/2,y+1/2,z+1/2'
'x+1/2,-y+1/2,z+1/2'
loop_
_atom_site_label
_atom_site_type_symbol
_atom_site_fract_x
_atom_site_fract_y
_atom_site_fract_z
Ba1 Ba 0.000 0.000 0.000
Ca1 Ca 0.000 0.000 0.626
Ca2 Ca 0.000 0.500 0.810
Cu1 Cu 0.000 0.500 0.299
```

## Properties
Volume   292.0 Å³/cell


## 2
# BaCa2Cu

A relaxed structure of BaCa2Cu (PBE-GGA, Alexandria).

Geometry as CIF:
```
data_BaCa2Cu
_cell_length_a 13.933
_cell_length_b 3.821
_cell_length_c 6.105
_cell_angle_alpha 90.00
_cell_angle_beta 115.89
_cell_angle_gamma 90.00
_space_group_name_H-M_alt 'C 1 2/m 1'
_space_group_IT_number 12
loop_
_space_group_symop_operation_xyz
'x,y,z'
'-x,-y,-z'
'-x,y,-z'
'x,-y,z'
'x+1/2,y+1/2,z'
'-x+1/2,-y+1/2,-z'
'-x+1/2,y+1/2,-z'
'x+1/2,-y+1/2,z'
loop_
_atom_site_label
_atom_site_type_symbol
_atom_site_fract_x
_atom_site_fract_y
_atom_site_fract_z
Ba1 Ba 0.000 0.000 0.000
Ca1 Ca 0.187 0.000 0.687
Cu1 Cu 0.000 0.500 0.500
```

## Properties
Volume   292.4 Å³/cell


Compare the structures above. Which one is the most stable? 2 is.